[1]
AlCd2OsO6 | PBE-GGA | relaxed

```
AlCd2OsO6
1.0
3.7847 0.0000 0.0000
0.0000 5.4710 0.0000
0.0000 0.0000 5.4710
O Cd Al Os
6 2 1 1
direct
0.6448 0.2471 0.2471
0.6448 0.7529 0.7529
0.1447 0.0000 0.0000
0.6448 0.7529 0.2471
0.1447 0.5000 0.5000
0.6448 0.2471 0.7529
0.1444 0.5000 0.0000
0.1444 0.0000 0.5000
0.6447 0.0000 0.0000
0.6446 0.5000 0.5000
```

Values from the calculation:
Its density of states at the Fermi level is 0.353 states/eV per atom. The electronic total energy comes out at -5.92 eV per atom.

=====

[2]
Dy3Bi5Te12 | PBE-GGA | relaxed

```
Dy3Bi5Te12
1.0
15.9065 0.0000 0.0000
-5.3022 14.9968 0.0000
-5.3022 -7.4984 12.9876
Te Bi Dy
48 20 12
direct
0.1676 0.0835 0.9420
0.4159 0.2745 0.3324
0.5580 0.3324 0.9165
0.0580 0.6414 0.7255
0.0835 0.9159 0.1414
0.8324 0.9159 0.2745
0.6676 0.4420 0.5835
0.8586 0.5841 0.9165
0.3586 0.9420 0.7745
0.9420 0.3586 0.2745
0.0835 0.1676 0.4420
0.6676 0.2255 0.5841
0.5835 0.9420 0.6676
0.3586 0.4165 0.0841
0.4420 0.7745 0.8586
0.6414 0.0580 0.2255
0.7745 0.4420 0.3586
0.4159 0.1414 0.5835
0.6414 0.5835 0.9159
0.9420 0.5835 0.1676
0.4420 0.6676 0.0835
0.2745 0.4159 0.8324
0.7255 0.1414 0.0580
0.7255 0.5841 0.1676
0.3324 0.7745 0.4159
0.4165 0.3586 0.5841
0.1414 0.4159 0.0835
0.5841 0.8586 0.4165
0.2745 0.8586 0.9420
0.5580 0.2255 0.1414
0.2255 0.6676 0.0841
0.8324 0.9165 0.0580
0.7745 0.3324 0.9159
0.2255 0.5580 0.6414
0.5835 0.6414 0.4159
0.5841 0.7255 0.6676
0.1676 0.0841 0.7255
0.3324 0.5580 0.4165
0.4165 0.0580 0.3324
0.0580 0.4165 0.8324
0.1414 0.7255 0.5580
0.9165 0.8324 0.5580
0.0841 0.1676 0.2255
0.0841 0.9165 0.3586
0.9159 0.0835 0.6414
0.9159 0.8324 0.7745
0.8586 0.2745 0.4420
0.9165 0.0841 0.8586
0.5000 0.5000 0.0000
0.0000 0.5000 0.0000
0.8750 0.6250 0.7500
0.7500 0.1250 0.8750
0.0000 0.0000 0.0000
0.1250 0.7500 0.3750
0.2500 0.8750 0.1250
0.5000 0.0000 0.5000
0.0000 0.0000 0.5000
0.8750 0.2500 0.6250
0.1250 0.3750 0.2500
0.5000 0.0000 0.0000
0.5000 0.5000 0.5000
0.3750 0.2500 0.1250
0.7500 0.6250 0.3750
0.3750 0.1250 0.7500
0.2500 0.3750 0.6250
0.0000 0.5000 0.5000
0.6250 0.8750 0.2500
0.6250 0.7500 0.8750
0.8750 0.1250 0.2500
0.2500 0.6250 0.8750
0.7500 0.8750 0.6250
0.7500 0.3750 0.1250
0.2500 0.1250 0.3750
0.3750 0.7500 0.6250
0.1250 0.2500 0.8750
0.3750 0.6250 0.2500
0.6250 0.2500 0.3750
0.8750 0.7500 0.1250
0.6250 0.3750 0.7500
0.1250 0.8750 0.7500
```

Values from the calculation:
The electronic total energy comes out at -4.01 eV per atom.